A plane-wave DFT calculation with GGA-PBE was carried out for Mg4CoW after structural relaxation.

Lattice parameters (Å, degrees): 5.3470 5.3470 5.3470 60.00 60.00 60.00
With the nearest neighbours (Å) after each atom.
Sites, in units of the cell vectors:
W: 0.7500 0.7500 0.7500  12 Mg 3.13, 4 Co 3.27
Mg: 0.3752 0.8744 0.3752  6 Mg 2.67-2.68
Mg: 0.3752 0.3752 0.8744  6 Mg 2.67-2.68
Mg: 0.8744 0.3752 0.3752  6 Mg 2.67-2.68
Mg: 0.3752 0.3752 0.3752  6 Mg 2.67-2.68
Co: 0.0000 0.0000 0.0000  12 Mg 3.14, 4 W 3.27

Values from the calculation:
**Calculated formation energy**: 0.839 eV/atom
**Raw total energy**: -21.40 eV per formula unit

---

A plane-wave DFT calculation with GGA-PBE was carried out for YMgCo after structural relaxation.

Lattice parameters (Å, degrees): 3.8312 3.9290 8.7849 102.92 90.00 90.00
With the nearest neighbours (Å) after each atom.
Sites, in units of the cell vectors:
Y: 0.7500 0.0889 0.1779  6 Co 2.89-2.90
Y: 0.2500 0.9111 0.8221  6 Co 2.89-2.90
Co: 0.7500 0.4642 0.9285  2 Co 2.27
Co: 0.2500 0.5357 0.0715  2 Co 2.27
Mg: 0.7500 0.2978 0.5955  1 Co 2.85
Mg: 0.2500 0.7022 0.4045  1 Co 2.85

Values from the calculation:
**Calculated formation energy**: -0.168 eV/atom
**Raw total energy**: -15.67 eV per formula unit

---

A plane-wave DFT calculation with GGA-PBE was carried out for Y3MgCo8 after structural relaxation.

Lattice parameters (Å, degrees): 5.0235 5.0235 8.7248 73.27 73.27 60.00
With the nearest neighbours (Å) after each atom.
Sites, in units of the cell vectors:
Co: 0.1881 0.1881 0.4356  6 Co 2.48-2.51
Co: 0.4368 0.4368 0.1912  6 Co 2.48-2.54
Co: 0.4418 0.9375 0.6831  6 Co 2.49-2.54
Co: 0.9375 0.4418 0.6831  6 Co 2.49-2.54
Co: 0.6874 0.6874 0.9377  6 Co 2.54
Co: 0.9375 0.9375 0.6831  6 Co 2.49-2.54
Co: 0.4368 0.9352 0.1912  6 Co 2.48-2.54
Co: 0.9352 0.4368 0.1912  6 Co 2.48-2.54
Y: 0.5031 0.5031 0.4907  12 Co 2.86-2.97, 3 Mg 3.04, 1 Y 3.14
Y: 0.9960 0.9960 0.0120  12 Co 2.91-3.08, 1 Mg 3.02, 3 Y 3.12
Y: 0.3758 0.3758 0.8726  12 Co 2.95-3.00, 4 Y 3.12-3.14
Mg: 0.8739 0.8739 0.3784  12 Co 2.89-2.95, 4 Y 3.02-3.04

Values from the calculation:
**Calculated formation energy**: -0.160 eV/atom
**Raw total energy**: -79.75 eV per formula unit

---

A plane-wave DFT calculation with GGA-PBE was carried out for YMgCo2 after structural relaxation.

Lattice parameters (Å, degrees): 4.5892 4.5892 4.5892 60.00 60.00 60.00
With the nearest neighbours (Å) after each atom.
Sites, in units of the cell vectors:
Y: 0.2500 0.2500 0.2500  4 Co 2.81, 4 Mg 2.81
Mg: 0.5000 0.5000 0.5000  4 Co 2.81, 4 Y 2.81
Co: 0.0000 0.0000 0.0000  4 Co 2.81, 4 Y 2.81
Co: 0.7500 0.7500 0.7500  4 Mg 2.81, 4 Co 2.81

Values from the calculation:
**Calculated formation energy**: 0.279 eV/atom
**Raw total energy**: -21.16 eV per formula unit

---

A plane-wave DFT calculation with GGA-PBE was carried out for Y2MgCo after structural relaxation.

Lattice parameters (Å, degrees): 3.3341 3.3343 8.3817 90.00 90.00 90.00
With the nearest neighbours (Å) after each atom.
Sites, in units of the cell vectors:
Co: 0.0000 0.0000 0.5118  4 Mg 2.78, 4 Y 2.83
Mg: 0.5000 0.5000 0.6866  4 Co 2.78, 1 Y 3.04
Y: 0.0000 0.0000 0.9776  4 Y 3.33, 4 Mg 3.39
Y: 0.5000 0.5000 0.3240  4 Co 2.83, 1 Mg 3.04

Values from the calculation:
**Calculated formation energy**: 0.046 eV/atom
**Raw total energy**: -21.44 eV per formula unit

---

A plane-wave DFT calculation with GGA-PBE was carried out for Y2MgCo2 after structural relaxation.

Lattice parameters (Å, degrees): 5.2537 5.2537 5.3792 60.77 60.77 90.00
With the nearest neighbours (Å) after each atom.
Sites, in units of the cell vectors:
Y: 0.2500 0.7500 0.5000  4 Co 2.74
Y: 0.7500 0.2500 0.5000  4 Co 2.74
Co: 0.6482 0.6482 0.7036  1 Co 2.31
Co: 0.3518 0.3518 0.2964  1 Co 2.31
Mg: 0.0000 0.0000 0.0000  2 Co 2.74

Values from the calculation:
**Calculated formation energy**: 0.101 eV/atom
**Raw total energy**: -28.23 eV per formula unit

---

A plane-wave DFT calculation with GGA-PBE was carried out for YMgCo after structural relaxation.

Lattice parameters (Å, degrees): 3.7950 5.2741 6.8195 101.22 106.16 90.00
With the nearest neighbours (Å) after each atom.
Sites, in units of the cell vectors:
Y: 0.1439 0.3319 0.2878  4 Co 2.85-2.90
Y: 0.8561 0.6681 0.7122  4 Co 2.85-2.90
Mg: 0.5819 0.7942 0.1637  3 Co 2.65-2.73
Mg: 0.4181 0.2058 0.8363  3 Co 2.65-2.73
Co: 0.7651 0.1191 0.5302  2 Co 2.27
Co: 0.2349 0.8809 0.4698  2 Co 2.27

Values from the calculation:
**Calculated formation energy**: -0.133 eV/atom
**Raw total energy**: -15.56 eV per formula unit

---

A plane-wave DFT calculation with GGA-PBE was carried out for YMgCo2 after structural relaxation.

Lattice parameters (Å, degrees): 4.5865 4.5865 5.4363 62.93 62.93 52.10
With the nearest neighbours (Å) after each atom.
Sites, in units of the cell vectors:
Co: 0.0294 0.0294 0.8268  2 Co 2.32, 3 Mg 2.54-2.60
Co: 0.4706 0.4706 0.6732  2 Co 2.32, 3 Mg 2.54-2.60
Y: 0.2500 0.2500 0.2500  2 Co 2.71
Mg: 0.7500 0.7500 0.7500  6 Co 2.54-2.60

Values from the calculation:
**Calculated formation energy**: 0.057 eV/atom
**Raw total energy**: -22.04 eV per formula unit